Pb5W, relaxed, DFT PBE; E above lowest polymorph = 119 meV/atom; energy of formation = 0.60 eV per atom; calculated volume = 27.50 A^3/atom; crystal system = orthorhombic
1.0
1.626 -9.189 0.000
1.626 9.189 0.000
0.000 0.000 5.523
Pb W
5 1
Direct
0.010 0.990 0.000
0.338 0.662 0.000
0.663 0.337 0.000
0.462 0.538 0.500
0.756 0.244 0.500
0.104 0.896 0.500